A plane-wave DFT calculation with PBE was carried out for Y2Cd2Cu15 after structural relaxation.

The space group is R-3m (No. 166, hexagonal axes) and the conventional cell measures 8.7474, 8.7474 and 12.7309 Å, with angles of 90.00, 90.00 and 120.00 degrees. The distinct sites, in fractional coordinates, are Y at (0.0000, 0.0000, 0.1472), Cd at (0.0000, 0.0000, 0.3932), Cu at (0.0000, 0.3057, 0.5000), Cu at (0.0000, 0.5000, 0.0000) and Cu at (0.0076, 0.5038, 0.6542).

The calculation puts the density at 8.0 g cm⁻³. For the total energy, the calculation gives -4.1134 eV per atom.